SrAlO2 | GGA-PBE | relaxed

- formation energy from raw total energies (eV/atom) = -2.262
- space-group type = I-42d (122)

Structure (POSCAR):
```
SrAlO2
1.0
5.191 0.000 0.000
0.000 5.191 0.000
2.595 2.595 4.670
Sr O Al
2 4 2
direct
0.750 0.250 0.500
0.000 0.000 0.000
0.261 0.625 0.250
0.375 0.511 0.750
0.489 0.125 0.250
0.875 0.739 0.750
0.500 0.500 0.000
0.250 0.750 0.500
```